CdGa2MoO8 | PBE+U | relaxed

Unit cell a=6.700 b=6.624 c=6.355 alpha=90.00 beta=90.15 gamma=90.00
Space group C2/m (No. 12)
Unique sites:
Cd (0.000, 0.000, 0.000) [2 per cell]
Ga (0.001, 0.500, 0.745) [4 per cell]
Mo (0.000, 0.000, 0.500) [2 per cell]
O (0.000, 0.301, 0.500) [4 per cell]
O (0.000, 0.326, 0.000) [4 per cell]
O (0.203, 0.000, 0.286) [4 per cell]
O (0.204, 0.000, 0.712) [4 per cell]

**Raw total energy**: -5.709 eV/atom